# PuCuPd GGA-PBE optimized geometry
data_PuCuPd
_chemical_formula_sum 'Pu2 Cu2 Pd2'
_symmetry_space_group_name_H-M 'P 1'
_symmetry_Int_Tables_number 1
_symmetry_space_group_name_Hall 'P 1'
_cell_length_a 3.193
_cell_length_b 4.528
_cell_length_c 8.519
_cell_angle_alpha 90.00
_cell_angle_beta 111.94
_cell_angle_gamma 90.00
loop_
_atom_site_label
_atom_site_type_symbol
_atom_site_fract_x
_atom_site_fract_y
_atom_site_fract_z
Pu1 Pu 0.378 0.791 0.012
Pd1 Pd 0.022 0.292 0.156
Cu1 Cu 0.693 0.290 0.826
Pd2 Pd 0.223 0.792 0.356
Cu2 Cu 0.553 0.790 0.686
Pu2 Pu 0.867 0.291 0.501
# SG = P2_1 (4)
# Polymorph energy (0 for the lowest one) = 133 meV per atom
# Calculated volume = 114 Å³ per cell
# Formation energy = -0.212 eV per atom


# TbScOs GGA-PBE optimized geometry
data_TbScOs
_chemical_formula_sum 'Tb1 Sc1 Os1'
_symmetry_space_group_name_H-M 'P 1'
_symmetry_Int_Tables_number 1
_symmetry_space_group_name_Hall 'P 1'
_cell_length_a 3.308
_cell_length_b 3.308
_cell_length_c 6.687
_cell_angle_alpha 104.32
_cell_angle_beta 104.32
_cell_angle_gamma 90.00
loop_
_atom_site_label
_atom_site_type_symbol
_atom_site_fract_x
_atom_site_fract_y
_atom_site_fract_z
Os1 Os 0.674 0.674 0.349
Sc1 Sc 0.291 0.291 0.582
Tb1 Tb 0.034 0.034 0.069
# SG = I4mm (107)
# Polymorph energy (0 for the lowest one) = 63 meV per atom
# Calculated volume = 69 Å³ per cell
# Formation energy = -0.276 eV per atom


# MgIrPt2 GGA-PBE optimized geometry
data_MgIrPt2
_chemical_formula_sum 'Mg1 Ir1 Pt2'
_symmetry_space_group_name_H-M 'P 1'
_symmetry_Int_Tables_number 1
_symmetry_space_group_name_Hall 'P 1'
_cell_length_a 2.791
_cell_length_b 2.791
_cell_length_c 7.971
_cell_angle_alpha 90.00
_cell_angle_beta 90.00
_cell_angle_gamma 90.00
loop_
_atom_site_label
_atom_site_type_symbol
_atom_site_fract_x
_atom_site_fract_y
_atom_site_fract_z
Mg1 Mg 0.500 0.500 0.749
Ir1 Ir 0.000 0.000 0.497
Pt1 Pt 0.000 0.000 0.997
Pt2 Pt 0.500 0.500 0.257
# SG = P4mm (99)
# Calculated volume = 62 Å³ per cell
# Formation energy = -0.258 eV per atom


# BaNa12Sn4 GGA-PBE optimized geometry
data_BaNa12Sn4
_chemical_formula_sum 'Ba1 Na12 Sn4'
_symmetry_space_group_name_H-M 'P 1'
_symmetry_Int_Tables_number 1
_symmetry_space_group_name_Hall 'P 1'
_cell_length_a 9.681
_cell_length_b 9.681
_cell_length_c 9.681
_cell_angle_alpha 109.47
_cell_angle_beta 109.47
_cell_angle_gamma 109.47
loop_
_atom_site_label
_atom_site_type_symbol
_atom_site_fract_x
_atom_site_fract_y
_atom_site_fract_z
Na1 Na 0.186 0.668 0.854
Na2 Na 0.332 0.518 0.186
Na3 Na 0.146 0.814 0.332
Sn1 Sn 0.000 0.000 0.500
Na4 Na 0.186 0.332 0.518
Sn2 Sn 0.000 0.500 0.000
Ba1 Ba 0.000 0.000 0.000
Sn3 Sn 0.500 0.000 0.000
Na5 Na 0.814 0.668 0.482
Na6 Na 0.814 0.332 0.146
Na7 Na 0.518 0.186 0.332
Na8 Na 0.482 0.814 0.668
Na9 Na 0.668 0.854 0.186
Na10 Na 0.854 0.186 0.668
Sn4 Sn 0.500 0.500 0.500
Na11 Na 0.668 0.482 0.814
Na12 Na 0.332 0.146 0.814
# SG = Im-3 (204)
# Calculated volume = 698 Å³ per cell
# Formation energy = 0.030 eV per atom


# Nd2ErCu3 GGA-PBE optimized geometry
data_Nd2ErCu3
_chemical_formula_sum 'Nd4 Er2 Cu6'
_symmetry_space_group_name_H-M 'P 1'
_symmetry_Int_Tables_number 1
_symmetry_space_group_name_Hall 'P 1'
_cell_length_a 5.007
_cell_length_b 7.945
_cell_length_c 7.052
_cell_angle_alpha 90.00
_cell_angle_beta 90.00
_cell_angle_gamma 71.63
loop_
_atom_site_label
_atom_site_type_symbol
_atom_site_fract_x
_atom_site_fract_y
_atom_site_fract_z
Cu1 Cu 0.828 0.344 0.769
Nd1 Nd 0.000 0.000 0.000
Cu2 Cu 0.172 0.656 0.231
Nd2 Nd 0.335 0.331 0.500
Cu3 Cu 0.172 0.656 0.769
Cu4 Cu 0.500 0.000 0.238
Cu5 Cu 0.828 0.344 0.231
Er1 Er 0.332 0.336 0.000
Nd3 Nd 0.000 0.000 0.500
Er2 Er 0.668 0.664 0.000
Cu6 Cu 0.500 0.000 0.762
Nd4 Nd 0.665 0.669 0.500
# SG = Cmmm (65)
# Polymorph energy (0 for the lowest one) = 4 meV per atom
# Calculated volume = 266 Å³ per cell
# Formation energy = -0.184 eV per atom


# Sc6Ga2Rh GGA-PBE optimized geometry
data_Sc6Ga2Rh
_chemical_formula_sum 'Sc12 Ga4 Rh2'
_symmetry_space_group_name_H-M 'P 1'
_symmetry_Int_Tables_number 1
_symmetry_space_group_name_Hall 'P 1'
_cell_length_a 7.848
_cell_length_b 7.848
_cell_length_c 7.848
_cell_angle_alpha 109.41
_cell_angle_beta 111.28
_cell_angle_gamma 107.74
loop_
_atom_site_label
_atom_site_type_symbol
_atom_site_fract_x
_atom_site_fract_y
_atom_site_fract_z
Ga1 Ga 0.349 0.000 0.349
Rh1 Rh 0.000 0.500 0.500
Sc1 Sc 0.916 0.740 0.176
Ga2 Ga 0.500 0.635 0.135
Sc2 Sc 0.282 0.953 0.672
Sc3 Sc 0.718 0.047 0.328
Ga3 Ga 0.651 0.000 0.651
Sc4 Sc 0.813 0.735 0.548
Sc5 Sc 0.564 0.740 0.824
Sc6 Sc 0.718 0.390 0.672
Rh2 Rh 0.000 0.000 0.000
Sc7 Sc 0.187 0.735 0.922
Sc8 Sc 0.436 0.260 0.176
Sc9 Sc 0.084 0.260 0.824
Ga4 Ga 0.500 0.365 0.865
Sc10 Sc 0.282 0.610 0.328
Sc11 Sc 0.187 0.265 0.452
Sc12 Sc 0.813 0.265 0.078
# SG = Immm (71)
# Calculated volume = 372 Å³ per cell
# Formation energy = -0.516 eV per atom


# Tb2NiC GGA-PBE optimized geometry
data_Tb2NiC
_chemical_formula_sum 'Tb2 Ni1 C1'
_symmetry_space_group_name_H-M 'P 1'
_symmetry_Int_Tables_number 1
_symmetry_space_group_name_Hall 'P 1'
_cell_length_a 3.644
_cell_length_b 3.644
_cell_length_c 6.949
_cell_angle_alpha 74.80
_cell_angle_beta 74.80
_cell_angle_gamma 60.00
loop_
_atom_site_label
_atom_site_type_symbol
_atom_site_fract_x
_atom_site_fract_y
_atom_site_fract_z
Tb1 Tb 0.764 0.764 0.708
Tb2 Tb 0.236 0.236 0.292
C1 C 0.500 0.500 0.500
Ni1 Ni 0.000 0.000 0.000
# SG = R-3m (166)
# Calculated volume = 76 Å³ per cell
# Formation energy = -0.160 eV per atom


# CsSnSCl2 GGA-PBE optimized geometry
data_CsSnSCl2
_chemical_formula_sum 'Cs1 Sn1 S1 Cl2'
_symmetry_space_group_name_H-M 'P 1'
_symmetry_Int_Tables_number 1
_symmetry_space_group_name_Hall 'P 1'
_cell_length_a 5.586
_cell_length_b 5.586
_cell_length_c 5.019
_cell_angle_alpha 90.00
_cell_angle_beta 90.00
_cell_angle_gamma 90.00
loop_
_atom_site_label
_atom_site_type_symbol
_atom_site_fract_x
_atom_site_fract_y
_atom_site_fract_z
Cl1 Cl 0.500 0.000 0.000
Cs1 Cs 0.500 0.500 0.500
S1 S 0.000 0.000 0.500
Cl2 Cl 0.000 0.500 0.000
Sn1 Sn 0.000 0.000 0.000
# SG = P4/mmm (123)
# Polymorph energy (0 for the lowest one) = 0 meV per atom
# Raw formation energy = -1.099 eV/atom
# Calculated volume = 157 Å³ per cell


# BeVC3 GGA-PBE optimized geometry
data_BeVC3
_chemical_formula_sum 'Be1 V1 C3'
_symmetry_space_group_name_H-M 'P 1'
_symmetry_Int_Tables_number 1
_symmetry_space_group_name_Hall 'P 1'
_cell_length_a 3.867
_cell_length_b 3.867
_cell_length_c 3.867
_cell_angle_alpha 90.00
_cell_angle_beta 90.00
_cell_angle_gamma 90.00
loop_
_atom_site_label
_atom_site_type_symbol
_atom_site_fract_x
_atom_site_fract_y
_atom_site_fract_z
V1 V 0.000 0.000 0.000
C1 C 0.000 0.500 0.000
C2 C 0.000 0.000 0.500
C3 C 0.500 0.000 0.000
Be1 Be 0.500 0.500 0.500
# SG = Pm-3m (221)
# Polymorph energy (0 for the lowest one) = 92 meV per atom
# Calculated volume = 58 Å³ per cell
# Formation energy = 2.047 eV per atom


# Li2PrY GGA-PBE optimized geometry
data_Li2PrY
_chemical_formula_sum 'Li2 Pr1 Y1'
_symmetry_space_group_name_H-M 'P 1'
_symmetry_Int_Tables_number 1
_symmetry_space_group_name_Hall 'P 1'
_cell_length_a 3.770
_cell_length_b 3.770
_cell_length_c 7.628
_cell_angle_alpha 90.00
_cell_angle_beta 90.00
_cell_angle_gamma 90.00
loop_
_atom_site_label
_atom_site_type_symbol
_atom_site_fract_x
_atom_site_fract_y
_atom_site_fract_z
Pr1 Pr 0.500 0.500 0.500
Li1 Li 0.000 0.000 0.244
Li2 Li 0.000 0.000 0.756
Y1 Y 0.500 0.500 0.000
# SG = P4/mmm (123)
# Polymorph energy (0 for the lowest one) = 0 meV per atom
# Calculated volume = 108 Å³ per cell
# Formation energy = 0.134 eV per atom


# KPa2Tl3Se6 GGA-PBE optimized geometry
data_KPa2Tl3Se6
_chemical_formula_sum 'K1 Pa2 Tl3 Se6'
_symmetry_space_group_name_H-M 'P 1'
_symmetry_Int_Tables_number 1
_symmetry_space_group_name_Hall 'P 1'
_cell_length_a 4.253
_cell_length_b 9.339
_cell_length_c 10.199
_cell_angle_alpha 105.35
_cell_angle_beta 102.03
_cell_angle_gamma 90.00
loop_
_atom_site_label
_atom_site_type_symbol
_atom_site_fract_x
_atom_site_fract_y
_atom_site_fract_z
Tl1 Tl 0.842 0.170 0.684
Se1 Se 0.678 0.130 0.356
Pa1 Pa 0.829 0.665 0.658
Tl2 Tl 0.158 0.830 0.316
K1 K 0.500 0.000 0.000
Se2 Se 0.969 0.732 0.939
Se3 Se 0.322 0.870 0.644
Tl3 Tl 0.500 0.500 0.000
Pa2 Pa 0.171 0.335 0.342
Se4 Se 0.031 0.268 0.061
Se5 Se 0.323 0.446 0.646
Se6 Se 0.677 0.554 0.354
# SG = C2/m (12)
# Raw formation energy = -1.016 eV/atom
# Calculated volume = 381 Å³ per cell


# YHgW2 GGA-PBE optimized geometry
data_YHgW2
_chemical_formula_sum 'Y1 Hg1 W2'
_symmetry_space_group_name_H-M 'P 1'
_symmetry_Int_Tables_number 1
_symmetry_space_group_name_Hall 'P 1'
_cell_length_a 9.516
_cell_length_b 9.516
_cell_length_c 9.516
_cell_angle_alpha 19.55
_cell_angle_beta 19.55
_cell_angle_gamma 19.55
loop_
_atom_site_label
_atom_site_type_symbol
_atom_site_fract_x
_atom_site_fract_y
_atom_site_fract_z
Y1 Y 0.505 0.505 0.505
W1 W 0.990 0.990 0.990
W2 W 0.261 0.261 0.261
Hg1 Hg 0.743 0.743 0.743
# SG = R3m (160)
# Calculated volume = 84 Å³ per cell
# Formation energy = 0.455 eV per atom


# CaAcLaGd GGA-PBE optimized geometry
data_CaAcLaGd
_chemical_formula_sum 'Ca1 Ac1 La1 Gd1'
_symmetry_space_group_name_H-M 'P 1'
_symmetry_Int_Tables_number 1
_symmetry_space_group_name_Hall 'P 1'
_cell_length_a 6.035
_cell_length_b 6.035
_cell_length_c 6.035
_cell_angle_alpha 60.00
_cell_angle_beta 60.00
_cell_angle_gamma 60.00
loop_
_atom_site_label
_atom_site_type_symbol
_atom_site_fract_x
_atom_site_fract_y
_atom_site_fract_z
Gd1 Gd 0.750 0.750 0.750
Ac1 Ac 0.000 0.000 0.000
Ca1 Ca 0.250 0.250 0.250
La1 La 0.500 0.500 0.500
# SG = F-43m (216)
# Calculated volume = 155 Å³ per cell
# Formation energy = 0.093 eV per atom


# ScTeOs2 GGA-PBE optimized geometry
data_ScTeOs2
_chemical_formula_sum 'Sc1 Te1 Os2'
_symmetry_space_group_name_H-M 'P 1'
_symmetry_Int_Tables_number 1
_symmetry_space_group_name_Hall 'P 1'
_cell_length_a 2.973
_cell_length_b 3.885
_cell_length_c 6.655
_cell_angle_alpha 90.00
_cell_angle_beta 90.00
_cell_angle_gamma 90.00
loop_
_atom_site_label
_atom_site_type_symbol
_atom_site_fract_x
_atom_site_fract_y
_atom_site_fract_z
Sc1 Sc 0.000 0.000 0.461
Os1 Os 0.000 0.000 0.074
Te1 Te 0.500 0.500 0.753
Os2 Os 0.500 0.500 0.212
# SG = Pmm2 (25)
# Raw formation energy = 0.165 eV/atom
# Calculated volume = 77 Å³ per cell


# La2SbBr GGA-PBE optimized geometry
data_La2SbBr
_chemical_formula_sum 'La2 Sb1 Br1'
_symmetry_space_group_name_H-M 'P 1'
_symmetry_Int_Tables_number 1
_symmetry_space_group_name_Hall 'P 1'
_cell_length_a 6.610
_cell_length_b 6.610
_cell_length_c 4.812
_cell_angle_alpha 89.93
_cell_angle_beta 89.93
_cell_angle_gamma 36.76
loop_
_atom_site_label
_atom_site_type_symbol
_atom_site_fract_x
_atom_site_fract_y
_atom_site_fract_z
La1 La 0.750 0.750 0.625
La2 La 0.018 0.018 0.124
Br1 Br 0.254 0.254 0.126
Sb1 Sb 0.479 0.479 0.625
# SG = Cm (8)
# Raw formation energy = -1.197 eV/atom
# Calculated volume = 126 Å³ per cell


# YAu3O GGA-PBE optimized geometry
data_YAu3O
_chemical_formula_sum 'Y1 Au3 O1'
_symmetry_space_group_name_H-M 'P 1'
_symmetry_Int_Tables_number 1
_symmetry_space_group_name_Hall 'P 1'
_cell_length_a 4.603
_cell_length_b 4.603
_cell_length_c 4.603
_cell_angle_alpha 90.00
_cell_angle_beta 90.00
_cell_angle_gamma 90.00
loop_
_atom_site_label
_atom_site_type_symbol
_atom_site_fract_x
_atom_site_fract_y
_atom_site_fract_z
Au1 Au 0.000 0.500 0.000
Au2 Au 0.500 0.000 0.000
Y1 Y 0.500 0.500 0.500
Au3 Au 0.000 0.000 0.500
O1 O 0.000 0.000 0.000
# SG = Pm-3m (221)
# Polymorph energy (0 for the lowest one) = 0 meV per atom
# Raw formation energy = -0.017 eV/atom
# Calculated volume = 97 Å³ per cell


# TlCdPb2 GGA-PBE optimized geometry
data_TlCdPb2
_chemical_formula_sum 'Tl1 Cd1 Pb2'
_symmetry_space_group_name_H-M 'P 1'
_symmetry_Int_Tables_number 1
_symmetry_space_group_name_Hall 'P 1'
_cell_length_a 3.488
_cell_length_b 3.488
_cell_length_c 9.664
_cell_angle_alpha 90.00
_cell_angle_beta 90.00
_cell_angle_gamma 90.00
loop_
_atom_site_label
_atom_site_type_symbol
_atom_site_fract_x
_atom_site_fract_y
_atom_site_fract_z
Tl1 Tl 0.500 0.500 0.250
Pb1 Pb 0.000 0.000 0.519
Pb2 Pb 0.000 0.000 0.981
Cd1 Cd 0.500 0.500 0.750
# SG = P4/mmm (123)
# Polymorph energy (0 for the lowest one) = 23 meV per atom
# Calculated volume = 118 Å³ per cell
# Formation energy = 0.039 eV per atom


# AcAlIr GGA-PBE optimized geometry
data_AcAlIr
_chemical_formula_sum 'Ac4 Al4 Ir4'
_symmetry_space_group_name_H-M 'P 1'
_symmetry_Int_Tables_number 1
_symmetry_space_group_name_Hall 'P 1'
_cell_length_a 4.188
_cell_length_b 7.419
_cell_length_c 9.001
_cell_angle_alpha 90.00
_cell_angle_beta 90.00
_cell_angle_gamma 90.00
loop_
_atom_site_label
_atom_site_type_symbol
_atom_site_fract_x
_atom_site_fract_y
_atom_site_fract_z
Ir1 Ir 0.750 0.782 0.599
Ac1 Ac 0.750 0.534 0.315
Ir2 Ir 0.750 0.282 0.901
Al1 Al 0.750 0.126 0.547
Al2 Al 0.750 0.626 0.953
Ac2 Ac 0.250 0.466 0.685
Ac3 Ac 0.750 0.034 0.185
Al3 Al 0.250 0.374 0.047
Ac4 Ac 0.250 0.966 0.815
Ir3 Ir 0.250 0.718 0.099
Ir4 Ir 0.250 0.218 0.401
Al4 Al 0.250 0.874 0.453
# SG = Pnma (62)
# Polymorph energy (0 for the lowest one) = 0 meV per atom
# Calculated volume = 280 Å³ per cell
# Formation energy = -0.740 eV per atom


# Nb2Pt13 GGA-PBE optimized geometry
data_Nb2Pt13
_chemical_formula_sum 'Nb2 Pt13'
_symmetry_space_group_name_H-M 'P 1'
_symmetry_Int_Tables_number 1
_symmetry_space_group_name_Hall 'P 1'
_cell_length_a 7.289
_cell_length_b 7.289
_cell_length_c 7.784
_cell_angle_alpha 62.08
_cell_angle_beta 62.08
_cell_angle_gamma 60.00
loop_
_atom_site_label
_atom_site_type_symbol
_atom_site_fract_x
_atom_site_fract_y
_atom_site_fract_z
Pt1 Pt 0.866 0.476 0.182
Pt2 Pt 0.097 0.738 0.427
Pt3 Pt 0.524 0.134 0.818
Pt4 Pt 0.738 0.738 0.427
Pt5 Pt 0.903 0.262 0.573
Pt6 Pt 0.524 0.524 0.818
Pt7 Pt 0.500 0.500 0.500
Pt8 Pt 0.262 0.903 0.573
Nb1 Nb 0.277 0.277 0.170
Pt9 Pt 0.476 0.476 0.182
Pt10 Pt 0.134 0.524 0.818
Pt11 Pt 0.738 0.097 0.427
Pt12 Pt 0.262 0.262 0.573
Pt13 Pt 0.476 0.866 0.182
Nb2 Nb 0.723 0.723 0.830
# SG = R-3m (166)
# Calculated volume = 301 Å³ per cell
# Formation energy = 0.068 eV per atom


# Mo2Br GGA-PBE optimized geometry
data_Mo2Br
_chemical_formula_sum 'Mo4 Br2'
_symmetry_space_group_name_H-M 'P 1'
_symmetry_Int_Tables_number 1
_symmetry_space_group_name_Hall 'P 1'
_cell_length_a 5.642
_cell_length_b 5.642
_cell_length_c 7.800
_cell_angle_alpha 55.58
_cell_angle_beta 55.58
_cell_angle_gamma 32.02
loop_
_atom_site_label
_atom_site_type_symbol
_atom_site_fract_x
_atom_site_fract_y
_atom_site_fract_z
Br1 Br 0.374 0.374 0.371
Mo1 Mo 0.634 0.634 0.291
Br2 Br 0.948 0.948 0.973
Mo2 Mo 0.681 0.681 0.662
Mo3 Mo 0.974 0.974 0.621
Mo4 Mo 0.222 0.222 0.915
# SG = Cm (8)
# Polymorph energy (0 for the lowest one) = 580 meV per atom
# Raw formation energy = 0.691 eV/atom
# Calculated volume = 106 Å³ per cell